The following is a DFT calculation (PBE) of a relaxed structure of Tb2PrTe.

Values from the calculation:
excess energy over the best structure of this formula in the dataset: 1.59 eV/f.u.
calculated density: 6.95 g cm⁻³
total energy: -4.5708 eV/atom
density of states at the Fermi level: 17.26 states/eV/cell
ΔE_f (raw): -0.275 eV/atom

Lattice parameters (Å, degrees): 3.8597 3.8597 32.5984 90.00 90.00 120.00
With the nearest neighbours (Å) after each atom.
Space group R-3m (No. 166, hexagonal axes)
Symmetry-distinct sites (fractional):
Tb1 0.0000 0.0000 0.1038 (multiplicity 6)  3 Te 3.03, 1 Pr 3.39
Pr1 0.0000 0.0000 0.0000 (multiplicity 3)  2 Tb 3.39
Te1 0.0000 0.0000 0.5000 (multiplicity 3)  6 Tb 3.03

***

The following is a DFT calculation (PBE) of a relaxed structure of TbPr3Te4.

Values from the calculation:
excess energy over the best structure of this formula in the dataset: 0.15 eV/f.u.
calculated density: 7.06 g cm⁻³
total energy: -5.3281 eV/atom
density of states at the Fermi level: 10.28 states/eV/cell
ΔE_f (raw): -1.386 eV/atom

Lattice parameters (Å, degrees): 4.3812 4.3812 30.8950 90.00 90.00 120.00
With the nearest neighbours (Å) after each atom.
Space group P6_3/mmc (No. 194)
Symmetry-distinct sites (fractional):
Tb1 0.3333 0.6667 0.2500 (multiplicity 2)  6 Te 3.14
Pr1 0.0000 0.0000 0.0000 (multiplicity 2)  6 Te 3.20
Pr2 0.3333 0.6667 0.6257 (multiplicity 4)  6 Te 3.18-3.21
Te1 0.0000 0.0000 0.1899 (multiplicity 4)  3 Tb 3.14, 3 Pr 3.21
Te2 0.3333 0.6667 0.0632 (multiplicity 4)  6 Pr 3.18-3.20

***

The following is a DFT calculation (PBE) of a relaxed structure of TbPr2Te4.

Values from the calculation:
excess energy over the best structure of this formula in the dataset: 0.00 eV/f.u.
calculated density: 6.11 g cm⁻³
total energy: -5.2271 eV/atom
density of states at the Fermi level: 7.08 states/eV/cell
ΔE_f (raw): -1.405 eV/atom

Lattice parameters (Å, degrees): 16.5751 4.4657 7.8829 90.00 117.65 90.00
With the nearest neighbours (Å) after each atom.
Space group C2/m (No. 12)
Symmetry-distinct sites (fractional):
Tb1 0.0000 0.0000 0.0000 (multiplicity 2)  6 Te 3.08-3.13
Pr1 0.2391 0.5000 0.7277 (multiplicity 4)  6 Te 3.16-3.27
Te1 0.1167 0.0000 0.4382 (multiplicity 4)  1 Tb 3.08, 3 Pr 3.16-3.21
Te2 0.1259 0.5000 0.9722 (multiplicity 4)  2 Tb 3.13, 3 Pr 3.25-3.27

***

The following is a DFT calculation (PBE) of a relaxed structure of Tb3Pr5Te8.

Values from the calculation:
calculated density: 7.22 g cm⁻³
total energy: -5.3199 eV/atom
density of states at the Fermi level: 36.51 states/eV/cell
ΔE_f (raw): -1.387 eV/atom

Lattice parameters (Å, degrees): 8.8970 8.8970 22.1744 90.00 90.00 120.00
With the nearest neighbours (Å) after each atom.
Space group R-3m (No. 166, hexagonal axes)
Symmetry-distinct sites (fractional):
Tb1 0.0000 0.5000 0.0000 (multiplicity 9)  6 Te 3.11
Pr1 0.0000 0.0000 0.0000 (multiplicity 3)  6 Te 3.16
Pr2 0.0000 0.0000 0.5000 (multiplicity 3)  6 Te 3.17
Pr3 0.0000 0.5000 0.5000 (multiplicity 9)  6 Te 3.22
Te1 0.0000 0.0000 0.2545 (multiplicity 6)  3 Tb 3.11, 3 Pr 3.22
Te2 0.0061 0.5030 0.2531 (multiplicity 18)  2 Tb 3.11, 4 Pr 3.16-3.22

***

The following is a DFT calculation (PBE) of a relaxed structure of TbPrTe.

Values from the calculation:
excess energy over the best structure of this formula in the dataset: 0.44 eV/f.u.
calculated density: 7.05 g cm⁻³
total energy: -4.8192 eV/atom
density of states at the Fermi level: 3.92 states/eV/cell
ΔE_f (raw): -0.635 eV/atom

Lattice parameters (Å, degrees): 4.1408 4.7396 5.1327 90.00 90.00 90.00
With the nearest neighbours (Å) after each atom.
Space group Pmmm (No. 47)
Symmetry-distinct sites (fractional):
Tb1 0.0000 0.0000 0.0000 (multiplicity 1)  4 Te 3.15, 4 Pr 3.49
Pr1 0.0000 0.5000 0.5000 (multiplicity 1)  4 Te 3.30, 4 Tb 3.49
Te1 0.5000 0.5000 0.0000 (multiplicity 1)  4 Tb 3.15, 4 Pr 3.30

***

The following is a DFT calculation (PBE) of a relaxed structure of TbPrTe2.

Values from the calculation:
excess energy over the best structure of this formula in the dataset: 0.09 eV/f.u.
calculated density: 7.38 g cm⁻³
total energy: -5.3020 eV/atom
density of states at the Fermi level: 4.71 states/eV/cell
ΔE_f (raw): -1.379 eV/atom

Lattice parameters (Å, degrees): 7.6564 4.4362 7.7881 90.00 109.30 90.00
With the nearest neighbours (Å) after each atom.
Space group C2/m (No. 12)
Symmetry-distinct sites (fractional):
Tb1 0.0000 0.0000 0.0000 (multiplicity 2)  6 Te 3.09
Pr1 0.0000 0.5000 0.5000 (multiplicity 2)  6 Te 3.21
Te1 0.2456 0.5000 0.2368 (multiplicity 4)  3 Tb 3.09, 3 Pr 3.21

***

The following is a DFT calculation (PBE) of a relaxed structure of TbPr3Te6.

Values from the calculation:
calculated density: 6.27 g cm⁻³
total energy: -5.1794 eV/atom
ΔE_f (raw): -1.398 eV/atom

Lattice parameters (Å, degrees): 7.4935 8.3664 13.5022 90.00 122.52 90.00
With the nearest neighbours (Å) after each atom.
Space group P2_1/c (No. 14)
Symmetry-distinct sites (fractional):
Tb1 0.0000 0.0000 0.0000 (multiplicity 2)  6 Te 3.03-3.09
Pr1 0.1939 0.1190 0.7459 (multiplicity 4)  6 Te 3.19-3.38
Pr2 0.5000 0.0000 0.5000 (multiplicity 2)  6 Te 3.12-3.17
Te1 0.0785 0.1794 0.4219 (multiplicity 4)  1 Tb 3.05, 3 Pr 3.12-3.38
Te2 0.2543 0.6732 0.4192 (multiplicity 4)  1 Tb 3.03, 3 Pr 3.15-3.35
Te3 0.4084 0.0532 0.2439 (multiplicity 4)  1 Tb 3.09, 3 Pr 3.17-3.25

***

The following is a DFT calculation (PBE) of a relaxed structure of TbPr3Te4.

Values from the calculation:
excess energy over the best structure of this formula in the dataset: 0.00 eV/f.u.
calculated density: 7.07 g cm⁻³
total energy: -5.3466 eV/atom
density of states at the Fermi level: 10.09 states/eV/cell
ΔE_f (raw): -1.405 eV/atom

Lattice parameters (Å, degrees): 9.1056 12.7123 4.4326 90.00 90.00 90.00
With the nearest neighbours (Å) after each atom.
Space group Cmmm (No. 65)
Symmetry-distinct sites (fractional):
Tb1 0.0000 0.0000 0.0000 (multiplicity 2)  6 Te 3.12
Pr1 0.0000 0.5000 0.0000 (multiplicity 2)  6 Te 3.24
Pr2 0.2500 0.2500 0.5000 (multiplicity 4)  6 Te 3.18
Te1 0.0000 0.2454 0.0000 (multiplicity 4)  1 Tb 3.12, 5 Pr 3.18-3.24
Te2 0.2410 0.0000 0.5000 (multiplicity 4)  2 Tb 3.12, 4 Pr 3.18-3.24

***

The following is a DFT calculation (PBE) of a relaxed structure of TbPr2Te.

Values from the calculation:
excess energy over the best structure of this formula in the dataset: 0.20 eV/f.u.
calculated density: 6.74 g cm⁻³
total energy: -4.8594 eV/atom
density of states at the Fermi level: 14.09 states/eV/cell
ΔE_f (raw): -0.527 eV/atom

Lattice parameters (Å, degrees): 3.9879 3.9879 30.4949 90.00 90.00 120.00
With the nearest neighbours (Å) after each atom.
Space group R-3m (No. 166, hexagonal axes)
Symmetry-distinct sites (fractional):
Tb1 0.0000 0.0000 0.0000 (multiplicity 3)  6 Pr 3.68, 6 Tb 3.99
Pr1 0.0000 0.0000 0.2392 (multiplicity 6)  3 Te 3.19
Te1 0.0000 0.0000 0.5000 (multiplicity 3)  6 Pr 3.19

***

The following is a DFT calculation (PBE) of a relaxed structure of Tb2Pr2Te3.

Values from the calculation:
calculated density: 8.01 g cm⁻³
total energy: -5.1946 eV/atom
density of states at the Fermi level: 10.66 states/eV/cell
ΔE_f (raw): -1.160 eV/atom

Lattice parameters (Å, degrees): 9.3391 9.3391 9.3391 90.00 90.00 90.00
With the nearest neighbours (Å) after each atom.
Space group I2_13 (No. 199)
Symmetry-distinct sites (fractional):
Tb1 0.0694 0.4306 0.5694 (multiplicity 8)  6 Te 3.11-3.32
Pr1 0.1750 0.1750 0.1750 (multiplicity 8)  6 Te 3.14-3.38
Te1 0.0000 0.2500 0.8671 (multiplicity 12)  4 Tb 3.11-3.32, 4 Pr 3.14-3.38

***

The following is a DFT calculation (PBE) of a relaxed structure of TbPrTe2.

Values from the calculation:
excess energy over the best structure of this formula in the dataset: 0.55 eV/f.u.
calculated density: 8.10 g cm⁻³
total energy: -5.1871 eV/atom
density of states at the Fermi level: 3.43 states/eV/cell
ΔE_f (raw): -1.264 eV/atom

Lattice parameters (Å, degrees): 3.8449 3.8449 7.7003 90.00 90.00 90.00
With the nearest neighbours (Å) after each atom.
Space group P4/mmm (No. 123)
Symmetry-distinct sites (fractional):
Tb1 0.0000 0.0000 0.0000 (multiplicity 1)  8 Te 3.29
Pr1 0.0000 0.0000 0.5000 (multiplicity 1)  8 Te 3.37
Te1 0.5000 0.5000 0.2416 (multiplicity 2)  4 Tb 3.29, 4 Pr 3.37

***

The following is a DFT calculation (PBE) of a relaxed structure of TbPrTe.

Values from the calculation:
excess energy over the best structure of this formula in the dataset: 0.80 eV/f.u.
calculated density: 7.27 g cm⁻³
total energy: -4.6971 eV/atom
density of states at the Fermi level: 3.85 states/eV/cell
ΔE_f (raw): -0.513 eV/atom

Lattice parameters (Å, degrees): 5.2364 5.2364 4.1126 90.00 90.00 120.00
With the nearest neighbours (Å) after each atom.
Space group P3m1 (No. 156)
Symmetry-distinct sites (fractional):
Tb1 0.0000 0.0000 0.0000 (multiplicity 1)  3 Te 3.09
Pr1 0.3333 0.6667 0.5124 (multiplicity 1)  3 Te 3.32, 6 Tb 3.63-3.69
Te1 0.6667 0.3333 0.8487 (multiplicity 1)  3 Tb 3.09, 3 Pr 3.32